1.
# Ho2Er3Sc5

A relaxed structure of Ho2Er3Sc5 (PBE, Alexandria via LeMat-Bulk).

Unit cell a=8.2970 b=8.3006 c=8.9432 alpha=72.23 beta=89.96 gamma=70.38
Fractional coordinates of all 20 atoms:
Ho  0.0764  0.2745  0.1039
Ho  0.3721  0.3703  0.5035
Ho  0.6279  0.6297  0.4965
Ho  0.9236  0.7256  0.8961
Er  0.1810  0.9768  0.8941
Er  0.2239  0.8253  0.3042
Er  0.3287  0.5216  0.1016
Er  0.6713  0.4784  0.8984
Er  0.7761  0.1747  0.6958
Er  0.8190  0.0232  0.1059
Sc  0.0278  0.4274  0.6965
Sc  0.1248  0.1248  0.4996
Sc  0.2730  0.6759  0.6988
Sc  0.4243  0.2233  0.8997
Sc  0.4767  0.0740  0.3020
Sc  0.5233  0.9260  0.6980
Sc  0.5757  0.7767  0.1003
Sc  0.7270  0.3241  0.3012
Sc  0.8752  0.8752  0.5004
Sc  0.9722  0.5726  0.3035

Results
- SG: P-1, No. 2
- Calculated volume: 27.445 A^3/atom
- ρ: 6.39 g cm⁻³
- M_tot: 0.0 μB per formula unit
- D(E_F): 1.688 states/eV/atom

***

2.
# Ho2Er3Sc5

A relaxed structure of Ho2Er3Sc5 (PBE, Alexandria via LeMat-Bulk).

Unit cell a=10.4800 b=10.4800 c=10.4800 alpha=115.10 beta=75.56 gamma=145.60
Fractional coordinates of all 20 atoms:
Ho  0.0456  0.2413  0.2868
Ho  0.4544  0.7413  0.1957
Ho  0.5456  0.2587  0.8043
Ho  0.9544  0.7587  0.7132
Er  0.1773  0.7288  0.9061
Er  0.2500  0.2500  0.0000
Er  0.3227  0.2288  0.5515
Er  0.6773  0.7712  0.4485
Er  0.7500  0.7500  0.0000
Er  0.8227  0.2712  0.0939
Sc  0.0660  0.2500  0.8160
Sc  0.1653  0.4420  0.6073
Sc  0.2500  0.7500  0.5000
Sc  0.3347  0.9420  0.2766
Sc  0.4340  0.2500  0.1840
Sc  0.5660  0.7500  0.8160
Sc  0.6653  0.0580  0.7234
Sc  0.7500  0.2500  0.5000
Sc  0.8347  0.5580  0.3927
Sc  0.9340  0.7500  0.1840

Results
- SG: Ibam, No. 72
- Calculated volume: 28.866 A^3/atom
- ρ: 6.08 g cm⁻³
- M_tot: 0.0 μB per formula unit
- D(E_F): 1.968 states/eV/atom

***

The structure shown above that is most stable: 1.